No. 1
Here is crystalline ZnSeBr2O at its relaxed geometry from Alexandria via LeMat-Bulk. Energies are from PBE.

Geometry as extended XYZ:
```
5
Lattice="4.867 0.000 0.000 0.000 4.867 0.000 0.000 0.000 4.339" Properties=species:S:1:pos:R:3 pbc="T T T"
Zn 0.000 0.000 0.000
Se 2.433 2.433 0.000
Br 0.000 2.433 2.169
Br 2.433 0.000 2.169
O 2.433 2.433 2.169
```

## Properties
V ... 102.8 Å³/cell
E_tot ... -2.135 eV/atom
M_tot ... 0.00 μB/atom
ΔE to the lowest computed polymorph ... 0.000 eV per formula unit
ΔE_f (raw) ... 0.478 eV per atom


No. 2
Here is crystalline Sb2RuCI at its relaxed geometry from Alexandria via LeMat-Bulk. Energies are from PBE.

Geometry as extended XYZ:
```
5
Lattice="4.592 0.000 0.000 0.000 4.592 0.000 0.000 0.000 4.808" Properties=species:S:1:pos:R:3 pbc="T T T"
Sb 0.000 2.296 0.000
Sb 2.296 0.000 0.000
Ru 0.000 0.000 2.404
C 2.296 2.296 0.000
I 2.296 2.296 2.404
```

## Properties
V ... 101.4 Å³/cell
E_tot ... -4.226 eV/atom
M_tot ... 0.05 μB/atom
ΔE to the lowest computed polymorph ... 0.000 eV per formula unit
ΔE_f (raw) ... 1.432 eV per atom


Please write out number 1 again, unchanged.
Here is crystalline ZnSeBr2O at its relaxed geometry from Alexandria via LeMat-Bulk. Energies are from PBE.

Geometry as extended XYZ:
```
5
Lattice="4.867 0.000 0.000 0.000 4.867 0.000 0.000 0.000 4.339" Properties=species:S:1:pos:R:3 pbc="T T T"
Zn 0.000 0.000 0.000
Se 2.433 2.433 0.000
Br 0.000 2.433 2.169
Br 2.433 0.000 2.169
O 2.433 2.433 2.169
```

## Properties
V ... 102.8 Å³/cell
E_tot ... -2.135 eV/atom
M_tot ... 0.00 μB/atom
ΔE to the lowest computed polymorph ... 0.000 eV per formula unit
ΔE_f (raw) ... 0.478 eV per atom


> ΔE to the lowest computed polymorph of number 1 (ZnSeBr2O)?

0.000 eV per formula unit


> What is the V in the second record?

101.4 Å³/cell


> Among the records above, which one has the lowest M_tot?

ZnSeBr2O